HfThCoNi | PBE | relaxed

Results
The value obtained for the total moment is 0.0 μB/f.u. As for the theoretical density: 11.4 g cm⁻³. For the formation enthalpy at 0 K, the calculation gives -330.0 meV/atom. The calculation puts the total energy at -7.8951 eV per atom.

Cell and atoms, written as CIF:
```
data_HfThCoNi
_space_group_name_H-M_alt 'C 1 m 1'
_space_group_IT_number 8
_space_group_name_Hall 'C -2y'
_cell_length_a 7.552
_cell_length_b 4.361
_cell_length_c 5.319
_cell_angle_alpha 90.00
_cell_angle_beta 118.35
_cell_angle_gamma 90.00
loop_
_atom_site_label
_atom_site_fract_x
_atom_site_fract_y
_atom_site_fract_z
Hf1 0.000 0.000 0.000
Th1 0.003 0.500 0.508
Co1 0.288 0.000 0.864
Ni1 0.213 0.500 0.140
```